# PBE-GGA GeP2AuO, optimized geometry
data_GeP2AuO
_chemical_formula_sum 'Ge1 P2 Au1 O1'
_space_group_name_H-M_alt 'P 1'
_space_group_IT_number 1
_cell_length_a 4.879
_cell_length_b 4.879
_cell_length_c 3.506
_cell_angle_alpha 90.00
_cell_angle_beta 90.00
_cell_angle_gamma 90.00
loop_
_space_group_symop_operation_xyz
'x,y,z'
loop_
_atom_site_label
_atom_site_type_symbol
_atom_site_fract_x
_atom_site_fract_y
_atom_site_fract_z
P1 P 0.000 0.500 0.000
P2 P 0.500 0.000 0.000
Ge1 Ge 0.000 0.000 0.000
Au1 Au 0.500 0.500 0.500
O1 O 0.000 0.000 0.500
# Energy above the lowest structure with this stoichiometry in meV/atom: 0
# ρ in g/cm³: 6.91
# Formation energy (no corrections) in eV per atom: 0.349